First-principles (PBE) data for AcHgAs2O6 after structural relaxation, as listed in Alexandria.

extended XYZ file:
```
20
Lattice="5.839 -4.237 0.000 5.839 4.237 0.000 -4.446 0.000 6.326" Properties=species:S:1:pos:R:3 pbc="T T T"
Ac 2.505 2.815 4.744
Ac 4.727 -2.815 1.581
Hg 4.727 1.781 1.581
Hg 2.505 -1.781 4.744
As -0.115 0.048 5.068
As 2.108 -0.048 1.906
As 5.124 0.048 4.420
As 7.347 -0.048 1.257
O -1.570 0.566 4.211
O 0.653 -0.566 1.049
O 0.462 1.610 5.827
O 1.398 0.807 3.298
O 3.621 -0.807 0.135
O 4.547 1.610 3.661
O 2.685 -1.610 2.665
O 3.611 0.807 6.191
O 5.834 -0.807 3.028
O 6.770 -1.610 0.498
O 6.579 0.566 5.277
O 8.802 -0.566 2.114
```

- density (g/cm3) = 7.15
- calculated total energy (eV per atom) = -5.942
- raw formation energy (eV/f.u.) = -15.96